1.
A geometry-optimized PmY2Sc2 structure. Source: Alexandria, functional GGA-PBE.

Computed properties:
Calculated formation energy   0.126 eV/atom
Spin magnetization   0.00 Bohr magnetons per cell
Relative energy among the computed polymorphs   0 meV/atom
SG   Imma, No. 74

Structure (POSCAR):
```
PmY2Sc2
1.0
5.203 0.006 -1.705
-0.905 6.123 -2.745
0.131 0.398 9.197
Sc Y Pm
4 4 2
Direct
0.193 0.197 0.886
0.807 0.311 0.114
0.193 0.689 0.886
0.807 0.803 0.114
0.377 0.627 0.254
0.623 0.373 0.746
0.004 0.754 0.509
0.996 0.246 0.491
0.373 0.123 0.245
0.627 0.877 0.755
```


2.
A geometry-optimized Pm6Y3Sc structure. Source: Alexandria, functional GGA-PBE.

Computed properties:
Calculated formation energy   0.132 eV/atom
Spin magnetization   0.00 Bohr magnetons per cell
Relative energy among the computed polymorphs   0 meV/atom
SG   Cmc2_1, No. 36

Structure (POSCAR):
```
Pm6Y3Sc
1.0
6.204 0.000 0.000
0.000 10.999 -1.667
0.000 -4.080 10.349
Pm Y Sc
12 6 2
Direct
0.360 0.525 0.947
0.537 0.621 0.710
0.037 0.710 0.621
0.433 0.954 0.046
0.360 0.053 0.475
0.145 0.723 0.277
0.860 0.947 0.525
0.860 0.475 0.053
0.933 0.046 0.954
0.645 0.277 0.723
0.537 0.290 0.379
0.037 0.379 0.290
0.960 0.724 0.946
0.460 0.946 0.724
0.960 0.054 0.276
0.069 0.385 0.615
0.569 0.615 0.385
0.460 0.276 0.054
0.124 0.204 0.796
0.624 0.796 0.204
```